Entry 1:
Below is a relaxed structure of Sr3Li, with properties calculated at the PBEsol level.

Cell lengths 5.5650, 5.5650, 11.7320 Å; angles 90.00, 90.00, 90.00 degrees
Space group I4/mmm (No. 139)
Symmetry-distinct sites (fractional):
Sr: 0.0000 0.0000 0.0000
Sr: 0.0000 0.5000 0.2500
Li: 0.0000 0.0000 0.5000

Calculated values
For the formation energy, the calculation gives 86 meV/atom. The density of states at the Fermi level is 7.13 states/eV/cell. Its crystal system is tetragonal.



Entry 2:
Below is a relaxed structure of CaY2Pt2, with properties calculated at the PBEsol level.

Cell lengths 7.7808, 7.7808, 3.8056 Å; angles 90.00, 90.00, 90.00 degrees
Space group P4/mbm (No. 127)
Symmetry-distinct sites (fractional):
Ca: 0.0000 0.0000 0.0000
Y: 0.1565 0.3435 0.5000
Pt: 0.1365 0.6365 0.0000

Calculated values
For the formation energy, the calculation gives -963 meV/atom. The density of states at the Fermi level is 7.51 states/eV/cell. Its crystal system is tetragonal.



Entry 3:
Below is a relaxed structure of ReAgIr2, with properties calculated at the PBEsol level.

Cell lengths 3.8158, 3.8158, 8.0092 Å; angles 90.00, 90.00, 90.00 degrees
Space group I-4m2 (No. 119)
Symmetry-distinct sites (fractional):
Re: 0.0000 0.0000 0.0000
Ag: 0.0000 0.5000 0.2500
Ir: 0.0000 0.0000 0.5000
Ir: 0.0000 0.5000 0.7500

Calculated values
For the formation energy, the calculation gives 383 meV/atom. The density of states at the Fermi level is 7.15 states/eV/cell. Its crystal system is tetragonal.



Entry 4:
Below is a relaxed structure of LaTcAg2, with properties calculated at the PBEsol level.

Cell lengths 3.8051, 4.7421, 8.4934 Å; angles 90.00, 90.00, 90.00 degrees
Space group Imm2 (No. 44)
Symmetry-distinct sites (fractional):
La: 0.0000 0.0000 0.0000
Tc: 0.0000 0.5000 0.3000
Ag: 0.0000 0.0000 0.5503
Ag: 0.0000 0.5000 0.7809

Calculated values
For the formation energy, the calculation gives 356 meV/atom. The density of states at the Fermi level is 8.43 states/eV/cell. Its crystal system is orthorhombic.